DFT (PBE) results for Ac8Ge3 after structural relaxation.

Output
- Formation enthalpy at 0 K: -0.2752 eV per atom
- M_tot: 0.0000 μB per atom
- Density: 7.6 Mg/m³
- Space-group type: No. 148

Cell: 7.624 7.624 7.624 Å, 89.34 89.34 89.34°
Atoms (fractional coordinates):
Ac 0.153 0.153 0.153
Ac 0.168 0.644 0.342
Ac 0.342 0.168 0.644
Ac 0.356 0.658 0.832
Ac 0.644 0.342 0.168
Ac 0.658 0.832 0.356
Ac 0.832 0.356 0.658
Ac 0.847 0.847 0.847
Ge 0.000 0.000 0.500
Ge 0.000 0.500 0.000
Ge 0.500 0.000 0.000